Computed, not measured: crystalline BeNiCl2 at its relaxed geometry at the PBE level of DFT.

Unit cell a=3.5719 b=3.5719 c=6.8560 alpha=90.00 beta=90.00 gamma=117.32
Closest atoms and distances in Å follow each position.
Element x y z (fractional)
Ni1 0.0000 0.0000 0.5635  2 Be 2.05, 3 Cl 2.14-2.28
Be1 0.5000 0.5000 0.6893  2 Ni 2.05, 3 Cl 2.18-2.26
Cl1 0.0000 0.0000 0.8759  1 Ni 2.14, 2 Be 2.26
Cl2 0.5000 0.5000 0.3713  1 Be 2.18, 2 Ni 2.28

Calculated values
**Polymorph energy (0 for the lowest one)**: 0.142 eV per atom
**SG**: Cmm2, No. 35
**Formation energy without anion corrections**: -0.3164 eV/atom